1.
Entry from Alexandria via LeMat-Bulk: a relaxed structure of Cu2BiSb2 (PBE-GGA).

Computed properties:
- Total energy: -37.963 eV/cell
- Crystal system: tetragonal
- DOS(E_F): 4.8 states/eV/cell

Cell lengths 8.3784, 8.3784, 3.2311 Å; angles 90.00, 90.00, 90.00 degrees
With the nearest neighbours (Å) after each atom.
Positions (direct):
1 Cu 0.1088 0.3912 0.0000  1 Cu 2.58
2 Cu 0.3912 0.8912 0.0000  1 Cu 2.58
3 Cu 0.6088 0.1088 0.0000  1 Cu 2.58
4 Cu 0.8912 0.6088 0.0000  1 Cu 2.58
5 Bi 0.0000 0.0000 0.5000  4 Sb 3.10, 2 Bi 3.23
6 Bi 0.5000 0.5000 0.5000  4 Sb 3.10, 2 Bi 3.23
7 Sb 0.1720 0.6720 0.5000  6 Cu 2.90-3.06, 2 Bi 3.10, 2 Sb 3.23
8 Sb 0.3280 0.1720 0.5000  6 Cu 2.90-3.06, 2 Bi 3.10, 2 Sb 3.23
9 Sb 0.6720 0.8280 0.5000  6 Cu 2.90-3.06, 2 Bi 3.10, 2 Sb 3.23
10 Sb 0.8280 0.3280 0.5000  6 Cu 2.90-3.06, 2 Bi 3.10, 2 Sb 3.23


2.
Entry from Alexandria via LeMat-Bulk: a relaxed structure of CuBiSb (PBE-GGA).

Computed properties:
- Total energy: -46.839 eV/cell
- Crystal system: cubic
- DOS(E_F): 4.6 states/eV/cell

Cell lengths 6.7274, 6.7274, 6.7274 Å; angles 90.00, 90.00, 90.00 degrees
With the nearest neighbours (Å) after each atom.
Positions (direct):
1 Cu 0.0000 0.0000 0.0000  4 Sb 2.91, 4 Bi 2.91
2 Cu 0.0000 0.5000 0.5000  4 Sb 2.91, 4 Bi 2.91
3 Cu 0.5000 0.0000 0.5000  4 Sb 2.91, 4 Bi 2.91
4 Cu 0.5000 0.5000 0.0000  4 Sb 2.91, 4 Bi 2.91
5 Bi 0.2500 0.2500 0.7500  4 Cu 2.91
6 Bi 0.2500 0.7500 0.2500  4 Cu 2.91
7 Bi 0.7500 0.2500 0.2500  4 Cu 2.91
8 Bi 0.7500 0.7500 0.7500  4 Cu 2.91
9 Sb 0.2500 0.2500 0.2500  4 Cu 2.91
10 Sb 0.2500 0.7500 0.7500  4 Cu 2.91
11 Sb 0.7500 0.2500 0.7500  4 Cu 2.91
12 Sb 0.7500 0.7500 0.2500  4 Cu 2.91


3.
Entry from Alexandria via LeMat-Bulk: a relaxed structure of CuBi2Sb2 (PBE-GGA).

Computed properties:
- Total energy: -36.620 eV/cell
- Crystal system: tetragonal
- DOS(E_F): 4.7 states/eV/cell

Cell lengths 7.2645, 7.2645, 5.4117 Å; angles 90.00, 90.00, 90.00 degrees
With the nearest neighbours (Å) after each atom.
Positions (direct):
1 Cu 0.0000 0.0000 0.0000  4 Bi 2.71
2 Cu 0.5000 0.5000 0.0000  4 Bi 2.71
3 Bi 0.1668 0.3332 0.0000  2 Cu 2.71
4 Bi 0.3332 0.8332 0.0000  2 Cu 2.71
5 Bi 0.6668 0.1668 0.0000  2 Cu 2.71
6 Bi 0.8332 0.6668 0.0000  2 Cu 2.71
7 Sb 0.1481 0.6481 0.5000  1 Sb 3.04, 2 Bi 3.31
8 Sb 0.3519 0.1481 0.5000  1 Sb 3.04, 2 Bi 3.31
9 Sb 0.6481 0.8519 0.5000  1 Sb 3.04, 2 Bi 3.31
10 Sb 0.8519 0.3519 0.5000  1 Sb 3.04, 2 Bi 3.31


4.
Entry from Alexandria via LeMat-Bulk: a relaxed structure of CuBi3Sb (PBE-GGA).

Computed properties:
- Total energy: -17.777 eV/cell
- Crystal system: cubic
- DOS(E_F): 4.1 states/eV/cell

Cell lengths 5.2850, 5.2850, 5.2850 Å; angles 90.00, 90.00, 90.00 degrees
With the nearest neighbours (Å) after each atom.
Positions (direct):
1 Cu 0.0000 0.0000 0.0000  6 Bi 2.64
2 Bi 0.0000 0.0000 0.5000  2 Cu 2.64
3 Bi 0.0000 0.5000 0.0000  2 Cu 2.64
4 Bi 0.5000 0.0000 0.0000  2 Cu 2.64
5 Sb 0.5000 0.5000 0.5000  12 Bi 3.74


5.
Entry from Alexandria via LeMat-Bulk: a relaxed structure of CuBi2Sb2 (PBE-GGA).

Computed properties:
- Total energy: -39.185 eV/cell
- Crystal system: tetragonal
- DOS(E_F): 5.9 states/eV/cell

Cell lengths 6.7357, 6.7357, 6.4026 Å; angles 90.00, 90.00, 90.00 degrees
With the nearest neighbours (Å) after each atom.
Positions (direct):
1 Cu 0.0000 0.0000 0.0000  4 Sb 2.55
2 Cu 0.5000 0.5000 0.0000  4 Sb 2.55
3 Bi 0.2005 0.2995 0.5000  2 Sb 3.23, 4 Bi 3.43
4 Bi 0.2995 0.7995 0.5000  2 Sb 3.23, 4 Bi 3.43
5 Bi 0.7005 0.2005 0.5000  2 Sb 3.23, 4 Bi 3.43
6 Bi 0.7995 0.7005 0.5000  2 Sb 3.23, 4 Bi 3.43
7 Sb 0.1531 0.3469 0.0000  2 Cu 2.55
8 Sb 0.3469 0.8469 0.0000  2 Cu 2.55
9 Sb 0.6531 0.1531 0.0000  2 Cu 2.55
10 Sb 0.8469 0.6531 0.0000  2 Cu 2.55


6.
Entry from Alexandria via LeMat-Bulk: a relaxed structure of CuBiSb (PBE-GGA).

Computed properties:
- Total energy: -11.772 eV/cell
- Crystal system: trigonal
- DOS(E_F): 1.8 states/eV/cell

Cell lengths 4.1524, 4.1524, 5.0032 Å; angles 90.00, 90.00, 120.00 degrees
With the nearest neighbours (Å) after each atom.
Positions (direct):
1 Cu 0.0000 0.0000 0.0000  3 Sb 2.63, 3 Bi 2.79
2 Bi 0.6667 0.3333 0.2852  3 Cu 2.79
3 Sb 0.3333 0.6667 0.7816  3 Cu 2.63


| no. | ΔE_f (raw) (eV/atom) | magnetization (μB/cell) | energy above the lowest structure with this stoichiometry (eV/atom) |
| --- | --- | --- | --- |
| 1 | 0.2673 | 0.0 | 0.098 |
| 2 | 0.1299 | 0.0 | 0.021 |
| 3 | 0.3586 | 0.0 | 0.257 |
| 4 | 0.4168 | 0.0 | 0.000 |
| 5 | 0.1020 | 0.0 | 0.000 |
| 6 | 0.1092 | 0.0 | 0.000 |